Computed, not measured: crystalline NaPI2O at its relaxed geometry at the PBE level of DFT.

a = 5.793 Å, b = 5.793 Å, c = 3.640 Å
α = 90.00°, β = 90.00°, γ = 90.00°
Atoms (fractional coordinates):
Na 0.000 0.000 0.000
P 0.500 0.500 0.500
I 0.000 0.500 0.500
I 0.500 0.000 0.500
O 0.500 0.500 0.000

Results
total magnetic moment = 0.00 μB/cell
E = -0.261 Ry/atom
E_form (uncorrected) = -0.591 eV per atom
energy relative to the lowest polymorph listed for this composition = 0.0 kJ per mole of atoms